No. 1
# AcPa2S4

A geometry-optimized AcPa2S4 structure (PBE-GGA, the Alexandria database).

Results
Formation energy from raw total energies in meV per atom: -1697
Space-group type: Cmcm, No. 63

```
data_AcPa2S4
_chemical_formula_sum 'Ac2 Pa4 S8'
_cell_length_a 6.761
_cell_length_b 6.761
_cell_length_c 13.376
_cell_angle_alpha 90.00
_cell_angle_beta 90.00
_cell_angle_gamma 145.71
_space_group_name_H-M_alt 'P 1'
_space_group_IT_number 1
_space_group_name_Hall 'P 1'
loop_
_atom_site_label
_atom_site_type_symbol
_atom_site_fract_x
_atom_site_fract_y
_atom_site_fract_z
Ac1 Ac 0.114 0.886 0.750
Ac2 Ac 0.886 0.114 0.250
Pa1 Pa 0.366 0.634 0.558
Pa2 Pa 0.366 0.634 0.942
Pa3 Pa 0.634 0.366 0.058
Pa4 Pa 0.634 0.366 0.442
S1 S 0.000 0.000 0.000
S2 S 0.000 0.000 0.500
S3 S 0.266 0.734 0.125
S4 S 0.266 0.734 0.375
S5 S 0.441 0.559 0.750
S6 S 0.559 0.441 0.250
S7 S 0.734 0.266 0.625
S8 S 0.734 0.266 0.875
```


No. 2
# ZrNO

A geometry-optimized ZrNO structure (PBE-GGA, the Alexandria database).

Results
Formation energy from raw total energies in meV per atom: -1870
Space-group type: Pmc2_1, No. 26

```
data_ZrNO
_chemical_formula_sum 'Zr4 N4 O4'
_cell_length_a 3.997
_cell_length_b 4.176
_cell_length_c 8.100
_cell_angle_alpha 90.00
_cell_angle_beta 90.00
_cell_angle_gamma 90.00
_space_group_name_H-M_alt 'P 1'
_space_group_IT_number 1
_space_group_name_Hall 'P 1'
loop_
_atom_site_label
_atom_site_type_symbol
_atom_site_fract_x
_atom_site_fract_y
_atom_site_fract_z
Zr1 Zr 0.000 0.075 0.000
Zr2 Zr 0.000 0.925 0.500
Zr3 Zr 0.500 0.401 0.708
Zr4 Zr 0.500 0.599 0.208
N1 N 0.184 0.417 0.438
N2 N 0.184 0.583 0.938
N3 N 0.816 0.417 0.438
N4 N 0.816 0.583 0.938
O1 O 0.000 0.169 0.732
O2 O 0.000 0.831 0.232
O3 O 0.500 0.108 0.113
O4 O 0.500 0.892 0.613
```


No. 3
# GdHoRuPb

A geometry-optimized GdHoRuPb structure (PBE-GGA, the Alexandria database).

Results
E_form in eV per atom: -0.259
Space-group type: F-43m, No. 216

```
data_GdHoRuPb
_chemical_formula_sum 'Gd4 Ho4 Ru4 Pb4'
_cell_length_a 7.259
_cell_length_b 7.259
_cell_length_c 7.259
_cell_angle_alpha 90.00
_cell_angle_beta 90.00
_cell_angle_gamma 90.00
_space_group_name_H-M_alt 'P 1'
_space_group_IT_number 1
_space_group_name_Hall 'P 1'
loop_
_atom_site_label
_atom_site_type_symbol
_atom_site_fract_x
_atom_site_fract_y
_atom_site_fract_z
Gd1 Gd 0.000 0.000 0.000
Gd2 Gd 0.000 0.500 0.500
Gd3 Gd 0.500 0.000 0.500
Gd4 Gd 0.500 0.500 0.000
Ho1 Ho 0.000 0.000 0.500
Ho2 Ho 0.000 0.500 0.000
Ho3 Ho 0.500 0.000 0.000
Ho4 Ho 0.500 0.500 0.500
Ru1 Ru 0.250 0.250 0.750
Ru2 Ru 0.250 0.750 0.250
Ru3 Ru 0.750 0.250 0.250
Ru4 Ru 0.750 0.750 0.750
Pb1 Pb 0.250 0.250 0.250
Pb2 Pb 0.250 0.750 0.750
Pb3 Pb 0.750 0.250 0.750
Pb4 Pb 0.750 0.750 0.250
```


No. 4
# ErTmSb2

A geometry-optimized ErTmSb2 structure (PBE-GGA, the Alexandria database).

Results
Formation energy from raw total energies in meV per atom: -1081
Space-group type: R-3m, No. 166
Polymorph energy (0 for the lowest one) in eV/atom: 0.000

```
data_ErTmSb2
_chemical_formula_sum 'Er3 Tm3 Sb6'
_cell_length_a 4.345
_cell_length_b 4.345
_cell_length_c 21.281
_cell_angle_alpha 90.00
_cell_angle_beta 90.00
_cell_angle_gamma 120.00
_space_group_name_H-M_alt 'P 1'
_space_group_IT_number 1
_space_group_name_Hall 'P 1'
loop_
_atom_site_label
_atom_site_type_symbol
_atom_site_fract_x
_atom_site_fract_y
_atom_site_fract_z
Er1 Er 0.000 0.000 0.000
Er2 Er 0.333 0.667 0.667
Er3 Er 0.667 0.333 0.333
Tm1 Tm 0.000 0.000 0.500
Tm2 Tm 0.333 0.667 0.167
Tm3 Tm 0.667 0.333 0.833
Sb1 Sb 0.000 0.000 0.250
Sb2 Sb 0.000 0.000 0.750
Sb3 Sb 0.333 0.667 0.417
Sb4 Sb 0.333 0.667 0.916
Sb5 Sb 0.667 0.333 0.084
Sb6 Sb 0.667 0.333 0.583
```